# 1
{"formula": "SrLaMo2", "functional": "GGA-PBEsol", "state": "relaxed", "relative_energy_mev_per_atom": 0, "energy_ev_per_cell": -26.71, "lattice": [[-0.973, 4.719, 1.182], [-1.501, 1.149, 4.586], [3.030, 2.466, 3.057]], "species": ["Mo", "Mo", "Sr", "La"], "frac_coords": [[0.000, 0.000, 0.000], [0.750, 0.750, 0.750], [0.250, 0.250, 0.250], [0.500, 0.500, 0.500]]}


# 2
{"formula": "SrLaMo2", "functional": "GGA-PBEsol", "state": "relaxed", "relative_energy_mev_per_atom": 116, "energy_ev_per_cell": -26.25, "lattice": [[3.389, 0.000, 0.000], [0.000, 5.144, 0.000], [-1.694, -2.572, 4.869]], "species": ["Mo", "La", "Sr", "Mo"], "frac_coords": [[0.732, 0.732, 0.465], [0.000, 0.500, 0.000], [0.500, 0.000, 0.000], [0.268, 0.268, 0.535]]}


# 3
{"formula": "SrLaTiMo2", "functional": "GGA-PBEsol", "state": "relaxed", "energy_ev_per_cell": -29.62, "lattice": [[4.790, 0.000, 0.000], [0.000, 4.790, 0.000], [0.000, 0.000, 5.440]], "species": ["La", "Sr", "Mo", "Ti", "Mo"], "frac_coords": [[0.000, 0.000, 0.000], [0.000, 0.000, 0.500], [0.000, 0.500, 0.000], [0.500, 0.500, 0.500], [0.500, 0.000, 0.000]]}


# 4
{"formula": "LaTa2ZnMo", "functional": "GGA-PBEsol", "state": "relaxed", "energy_ev_per_cell": -39.81, "lattice": [[4.779, 0.000, 0.000], [0.000, 4.779, 0.000], [0.000, 0.000, 5.051]], "species": ["Mo", "Ta", "Zn", "Ta", "La"], "frac_coords": [[0.000, 0.000, 0.000], [0.500, 0.000, 0.000], [0.000, 0.000, 0.500], [0.000, 0.500, 0.000], [0.500, 0.500, 0.500]]}


We obtain calculated formation energy values of 1.00; 1.12; 1.88; 0.80 eV per atom for the records listed above, in that order.
We obtain size of the total moment values of 0.00; 0.00; 1.84; 0.00 μB/f.u. for the records listed above, in that order.